No. 1
Here is crystalline Tb4HoAu2 at its relaxed geometry from Alexandria. Energies are from PBE.

## Properties
Total magnetic moment in μB per atom: 0.000
Crystal system: trigonal
Symmetry: R-3m, No. 166
E_form in eV per formula unit: -1.72
N(E_F) in states/eV/atom: 1.476

abc: 4.983 4.983 10.318
angles: 76.03 76.03 60.00
Element x y z (fractional)
Tb 0.702 0.702 0.893
Tb 0.896 0.896 0.312
Tb 0.298 0.298 0.107
Tb 0.104 0.104 0.688
Ho 0.500 0.500 0.500
Au 0.601 0.601 0.197
Au 0.399 0.399 0.803

---

No. 2
Here is crystalline TbHoAu5 at its relaxed geometry from Alexandria. Energies are from PBE.

## Properties
Total magnetic moment in μB per atom: 0.000
Crystal system: monoclinic
Symmetry: C2/c, No. 15
E_form in eV per formula unit: -4.68
N(E_F) in states/eV/atom: 0.493

abc: 5.295 5.295 11.298
angles: 101.19 101.19 100.61
Element x y z (fractional)
Tb 0.000 0.000 0.000
Tb 0.000 0.000 0.500
Ho 0.566 0.434 0.250
Ho 0.434 0.566 0.750
Au 0.042 0.550 0.148
Au 0.761 0.478 0.542
Au 0.550 0.042 0.648
Au 0.931 0.069 0.250
Au 0.522 0.239 0.958
Au 0.478 0.761 0.042
Au 0.069 0.931 0.750
Au 0.450 0.958 0.352
Au 0.239 0.522 0.458
Au 0.958 0.450 0.852

---

No. 3
Here is crystalline Tb2HoAu at its relaxed geometry from Alexandria. Energies are from PBE.

## Properties
Total magnetic moment in μB per atom: 0.000
Crystal system: tetragonal
Symmetry: P4/mmm, No. 123
ΔE to the lowest computed polymorph in meV/atom: 56
E_form in eV per formula unit: -1.54
N(E_F) in states/eV/atom: 1.321

abc: 3.636 3.636 8.412
angles: 90.00 90.00 90.00
Element x y z (fractional)
Tb 0.000 0.000 0.791
Tb 0.000 0.000 0.209
Au 0.500 0.500 0.000
Ho 0.500 0.500 0.500

---

No. 4
Here is crystalline TbHoAu at its relaxed geometry from Alexandria. Energies are from PBE.

## Properties
Total magnetic moment in μB per atom: 0.000
Crystal system: trigonal
Symmetry: R3m, No. 160
ΔE to the lowest computed polymorph in meV/atom: 173
E_form in eV per formula unit: -1.40
N(E_F) in states/eV/atom: 0.930

abc: 4.991 4.991 8.040
angles: 90.04 108.07 119.96
Element x y z (fractional)
Tb 0.045 0.155 0.200
Tb 0.720 0.993 0.713
Ho 0.560 0.414 0.974
Ho 0.886 0.576 0.462
Au 0.153 0.711 0.864
Au 0.454 0.860 0.314

---

No. 5
Here is crystalline Tb2HoAu at its relaxed geometry from Alexandria. Energies are from PBE.

## Properties
Total magnetic moment in μB per atom: 0.131
Crystal system: trigonal
Symmetry: R3m, No. 160
ΔE to the lowest computed polymorph in meV/atom: 168
E_form in eV per formula unit: -1.10
N(E_F) in states/eV/atom: 1.215

abc: 3.727 3.727 10.069
angles: 79.33 79.33 60.00
Each line ends with the local moment (μB).
Element x y z (fractional)
Tb 0.070 0.070 0.789  0.05
Tb 0.263 0.263 0.211  0.08
Ho 0.500 0.500 0.499  0.24
Au 0.666 0.666 0.001  0.00

---

No. 6
Here is crystalline TbHo2Au2 at its relaxed geometry from Alexandria. Energies are from PBE.

## Properties
Total magnetic moment in μB per atom: 0.000
Crystal system: tetragonal
Symmetry: P4/mbm, No. 127
E_form in eV per formula unit: -3.53
N(E_F) in states/eV/atom: 1.272

abc: 3.790 8.153 8.153
angles: 90.00 90.00 90.00
Element x y z (fractional)
Tb 0.000 0.000 0.000
Tb 0.000 0.500 0.500
Ho 0.500 0.162 0.662
Ho 0.500 0.662 0.838
Ho 0.500 0.838 0.338
Ho 0.500 0.338 0.162
Au 0.000 0.367 0.867
Au 0.000 0.867 0.633
Au 0.000 0.633 0.133
Au 0.000 0.133 0.367

---

No. 7
Here is crystalline TbHoAu4 at its relaxed geometry from Alexandria. Energies are from PBE.

## Properties
Total magnetic moment in μB per atom: 0.000
Crystal system: triclinic
Symmetry: P-1, No. 2
E_form in eV per formula unit: -5.18
N(E_F) in states/eV/atom: 0.379

abc: 3.742 5.260 7.469
angles: 80.33 75.51 110.91
Element x y z (fractional)
Tb 0.501 0.497 0.998
Ho 0.001 0.997 0.498
Au 0.666 0.998 0.168
Au 0.336 0.996 0.828
Au 0.170 0.501 0.664
Au 0.832 0.493 0.332

---

No. 8
Here is crystalline TbHo4Au2 at its relaxed geometry from Alexandria. Energies are from PBE.

## Properties
Total magnetic moment in μB per atom: 0.000
Crystal system: trigonal
Symmetry: R-3m, No. 166
E_form in eV per formula unit: -1.85
N(E_F) in states/eV/atom: 1.315

abc: 4.905 4.905 10.475
angles: 76.46 76.46 60.00
Element x y z (fractional)
Tb 0.500 0.500 0.500
Ho 0.701 0.701 0.896
Ho 0.899 0.899 0.304
Ho 0.299 0.299 0.104
Ho 0.101 0.101 0.696
Au 0.602 0.602 0.195
Au 0.398 0.398 0.805

---

No. 9
Here is crystalline Tb2HoAu3 at its relaxed geometry from Alexandria. Energies are from PBE.

## Properties
Total magnetic moment in μB per atom: 0.000
Crystal system: tetragonal
Symmetry: P4/mmm, No. 123
E_form in eV per formula unit: -5.16
N(E_F) in states/eV/atom: 0.384

abc: 3.585 3.585 10.915
angles: 90.00 90.00 90.00
Element x y z (fractional)
Tb 0.500 0.500 0.832
Tb 0.500 0.500 0.168
Ho 0.500 0.500 0.500
Au 0.000 0.000 0.000
Au 0.000 0.000 0.663
Au 0.000 0.000 0.337

---

No. 10
Here is crystalline TbHoAu at its relaxed geometry from Alexandria. Energies are from PBE.

## Properties
Total magnetic moment in μB per atom: 0.000
Crystal system: orthorhombic
Symmetry: Pnma, No. 62
ΔE to the lowest computed polymorph in meV/atom: 0
E_form in eV per formula unit: -1.92
N(E_F) in states/eV/atom: 1.003

abc: 4.964 8.936 7.125
angles: 90.00 90.00 90.00
Element x y z (fractional)
Tb 0.250 0.823 0.487
Tb 0.750 0.323 0.013
Tb 0.250 0.677 0.987
Tb 0.750 0.177 0.513
Ho 0.750 0.919 0.149
Ho 0.750 0.581 0.649
Ho 0.250 0.081 0.851
Ho 0.250 0.419 0.351
Au 0.750 0.598 0.244
Au 0.750 0.902 0.744
Au 0.250 0.098 0.256
Au 0.250 0.402 0.756

---

No. 11
Here is crystalline TbHo2Au6 at its relaxed geometry from Alexandria. Energies are from PBE.

## Properties
Total magnetic moment in μB per atom: 0.000
Crystal system: monoclinic
Symmetry: C2/m, No. 12
E_form in eV per formula unit: -7.19
N(E_F) in states/eV/atom: 0.515

abc: 5.284 5.249 8.478
angles: 71.97 80.97 59.55
Element x y z (fractional)
Tb 0.000 0.000 0.500
Ho 0.500 0.835 0.831
Ho 0.500 0.165 0.169
Au 0.168 0.835 0.167
Au 0.832 0.498 0.167
Au 0.832 0.165 0.833
Au 0.168 0.502 0.833
Au 0.328 0.328 0.500
Au 0.672 0.672 0.500

---

No. 12
Here is crystalline Tb2HoAu at its relaxed geometry from Alexandria. Energies are from PBE.

## Properties
Total magnetic moment in μB per atom: 0.000
Crystal system: orthorhombic
Symmetry: Pnma, No. 62
ΔE to the lowest computed polymorph in meV/atom: 0
E_form in eV per formula unit: -1.77
N(E_F) in states/eV/atom: 0.866

abc: 6.683 6.967 9.771
angles: 90.00 90.00 90.00
Element x y z (fractional)
Tb 0.194 0.698 0.055
Tb 0.306 0.198 0.445
Tb 0.806 0.302 0.555
Tb 0.694 0.802 0.945
Tb 0.806 0.302 0.945
Tb 0.694 0.802 0.555
Tb 0.194 0.698 0.445
Tb 0.306 0.198 0.055
Ho 0.619 0.515 0.250
Ho 0.881 0.015 0.250
Ho 0.381 0.485 0.750
Ho 0.119 0.985 0.750
Au 0.038 0.412 0.250
Au 0.462 0.912 0.250
Au 0.962 0.588 0.750
Au 0.538 0.088 0.750

---

No. 13
Here is crystalline Tb2HoAu3 at its relaxed geometry from Alexandria. Energies are from PBE.

## Properties
Total magnetic moment in μB per atom: 0.000
Crystal system: trigonal
Symmetry: P-3m1, No. 164
E_form in eV per formula unit: -5.16
N(E_F) in states/eV/atom: 0.409

abc: 5.091 5.091 6.276
angles: 90.00 90.00 120.00
Element x y z (fractional)
Tb 0.667 0.333 0.332
Tb 0.333 0.667 0.668
Ho 0.000 0.000 0.000
Au 0.000 0.000 0.500
Au 0.667 0.333 0.836
Au 0.333 0.667 0.164

---

No. 14
Here is crystalline TbHoAu at its relaxed geometry from Alexandria. Energies are from PBE.

## Properties
Total magnetic moment in μB per atom: 0.000
Crystal system: trigonal
Symmetry: P3m1, No. 156
ΔE to the lowest computed polymorph in meV/atom: 219
E_form in eV per formula unit: -1.26
N(E_F) in states/eV/atom: 0.634

abc: 3.811 4.903 4.903
angles: 120.00 90.00 90.00
Element x y z (fractional)
Tb 0.604 0.667 0.333
Au 0.323 0.333 0.667
Ho 0.074 0.000 0.000

---

No. 15
Here is crystalline TbHoAu at its relaxed geometry from Alexandria. Energies are from PBE.

## Properties
Total magnetic moment in μB per atom: 0.283
Crystal system: tetragonal
Symmetry: I4mm, No. 107
ΔE to the lowest computed polymorph in meV/atom: 101
E_form in eV per formula unit: -1.61
N(E_F) in states/eV/atom: 1.029

abc: 3.596 3.596 6.653
angles: 105.68 105.68 90.00
Each line ends with the local moment (μB).
Element x y z (fractional)
Tb 0.020 0.020 0.041  0.30
Au 0.669 0.669 0.339  0.01
Ho 0.310 0.310 0.620  0.29

---

No. 16
Here is crystalline Tb3Ho2Au2 at its relaxed geometry from Alexandria. Energies are from PBE.

## Properties
Total magnetic moment in μB per atom: 0.000
Crystal system: monoclinic
Symmetry: C2/m, No. 12
E_form in eV per formula unit: -3.45
N(E_F) in states/eV/atom: 1.257

abc: 3.716 6.589 9.154
angles: 114.22 90.00 106.38
Element x y z (fractional)
Tb 0.500 0.000 0.000
Tb 0.613 0.226 0.444
Tb 0.387 0.774 0.556
Ho 0.848 0.697 0.188
Ho 0.152 0.303 0.812
Au 0.827 0.655 0.773
Au 0.173 0.345 0.227

---

No. 17
Here is crystalline TbHoAu at its relaxed geometry from Alexandria. Energies are from PBE.

## Properties
Total magnetic moment in μB per atom: 0.000
Crystal system: cubic
Symmetry: F-43m, No. 216
ΔE to the lowest computed polymorph in meV/atom: 193
E_form in eV per formula unit: -1.34
N(E_F) in states/eV/atom: 1.280

abc: 4.972 4.972 4.972
angles: 60.00 60.00 60.00
Element x y z (fractional)
Tb 0.000 0.000 0.000
Au 0.250 0.250 0.250
Ho 0.500 0.500 0.500

---

No. 18
Here is crystalline TbHoZnAu at its relaxed geometry from Alexandria. Energies are from PBE.

## Properties
Total magnetic moment in μB per atom: 0.000
Crystal system: cubic
Symmetry: F-43m, No. 216
E_form in eV per formula unit: -2.38
N(E_F) in states/eV/atom: 0.793

abc: 5.073 5.073 5.073
angles: 60.00 60.00 60.00
Element x y z (fractional)
Tb 0.750 0.750 0.750
Zn 0.000 0.000 0.000
Au 0.500 0.500 0.500
Ho 0.250 0.250 0.250

---

No. 19
Here is crystalline Ho5Te5Au at its relaxed geometry from Alexandria. Energies are from PBE.

## Properties
Total magnetic moment in μB per atom: 0.000
Crystal system: monoclinic
Formation energy (no corrections) in eV/atom: -1.229
Symmetry: C2/m, No. 12
N(E_F) in states/eV/atom: 0.794

abc: 6.128 7.510 8.574
angles: 107.02 90.00 114.08
Element x y z (fractional)
Ho 0.843 0.685 0.160
Ho 0.842 0.685 0.678
Ho 0.500 0.000 0.000
Ho 0.158 0.315 0.322
Ho 0.157 0.315 0.840
Te 0.677 0.353 0.335
Te 0.666 0.331 0.828
Te 0.000 0.000 0.500
Te 0.334 0.669 0.172
Te 0.323 0.647 0.665
Au 0.000 0.000 0.000

---

No. 20
Here is crystalline HoTeAu at its relaxed geometry from Alexandria. Energies are from PBE.

## Properties
Total magnetic moment in μB per atom: 0.000
Crystal system: tetragonal
Formation energy (no corrections) in eV/atom: -0.716
Symmetry: P4_2/m, No. 84
N(E_F) in states/eV/atom: 0.029

abc: 4.027 9.828 9.828
angles: 90.00 90.00 90.00
Element x y z (fractional)
Au 0.500 0.724 0.261
Au 0.500 0.276 0.739
Au 0.000 0.261 0.276
Au 0.000 0.739 0.724
Ho 0.500 0.824 0.539
Ho 0.000 0.461 0.824
Ho 0.000 0.539 0.176
Ho 0.500 0.176 0.461
Te 0.500 0.313 0.049
Te 0.000 0.951 0.313
Te 0.000 0.049 0.687
Te 0.500 0.687 0.951